1.
12
Lattice="5.2605 3.0371 8.4195 -5.2605 3.0371 8.4195 0.0000 -6.0743 8.4195" Properties=species:S:1:pos:R:3 comment="Cs3KHg2 GGA-PBE optimized geometry" delta_e_f_ev_per_atom=-0.12 dos_at_fermi_per_ev_atom=0.35 pbc="T T T"
Cs -3.8178 -0.5383 10.5244
Cs -1.4427 -3.5754 14.7342
Cs 2.3750 -3.0371 10.5244
Cs -2.3750 3.0371 14.7342
Cs 1.4427 3.5754 10.5244
Cs 3.8178 0.5382 14.7342
K 0.0000 0.0000 0.0000
K 0.0000 0.0000 12.6293
Hg 0.0000 0.0000 3.5708
Hg 0.0000 0.0000 9.0585
Hg 0.0000 0.0000 16.2001
Hg 0.0000 0.0000 21.6878

2.
10
Lattice="5.5965 -8.8650 0.0000 5.5965 8.8650 0.0000 0.0000 0.0000 6.9172" Properties=species:S:1:pos:R:3 comment="CsK7Hg2 GGA-PBE optimized geometry" delta_e_f_ev_per_atom=-0.06 dos_at_fermi_per_ev_atom=0.71 pbc="T T T"
Cs 0.0000 0.0000 0.0000
K 2.1816 2.4824 3.4586
K 5.5965 3.4648 0.0000
K 2.1816 -2.4824 3.4586
K 5.5965 0.0000 3.4586
K 9.0114 2.4824 3.4586
K 5.5965 -3.4648 0.0000
K 9.0114 -2.4824 3.4586
Hg 5.5965 3.5597 3.4586
Hg 5.5965 -3.5597 3.4586

3.
6
Lattice="5.5233 0.0000 0.0000 -2.7616 4.7833 0.0000 0.0000 0.0000 8.5533" Properties=species:S:1:pos:R:3 comment="CsKHg4 GGA-PBE optimized geometry" delta_e_f_ev_per_atom=-0.28 dos_at_fermi_per_ev_atom=0.46 e_above_lowest_polymorph_mev_per_atom=0 pbc="T T T"
Cs 0.0000 0.0000 0.0000
K 0.0000 0.0000 4.2766
Hg 0.0000 3.1889 2.5870
Hg 0.0000 3.1889 5.9662
Hg 2.7616 1.5944 2.5870
Hg 2.7616 1.5944 5.9662

4.
15
Lattice="13.6592 0.0000 0.0000 -6.8296 11.8292 0.0000 0.0000 0.0000 8.2542" Properties=species:S:1:pos:R:3 comment="Cs8K6Hg GGA-PBE optimized geometry" delta_e_f_ev_per_atom=-0.02 dos_at_fermi_per_ev_atom=1.10 pbc="T T T"
Cs -1.1059 2.9845 2.0934
Cs -3.6920 11.2947 2.0934
Cs 2.0317 2.4500 6.1608
Cs 0.0000 7.8862 2.1070
Cs 6.8296 3.9431 6.1472
Cs 4.7979 9.3793 2.0934
Cs 10.5216 0.5345 6.1608
Cs 7.9355 8.8447 6.1608
K -1.9596 5.7861 6.2224
K -0.8389 10.6332 6.2224
K 4.0311 4.5901 2.0319
K 2.7985 7.2391 6.2224
K 7.6685 1.1960 2.0319
K 8.7892 6.0431 2.0319
Hg 0.0000 0.0000 0.0000

5.
28
Lattice="0.0000 10.3741 10.3741 10.3741 0.0000 10.3741 10.3741 10.3741 0.0000" Properties=species:S:1:pos:R:3 comment="Cs10KHg3 GGA-PBE optimized geometry" delta_e_f_ev_per_atom=-0.10 dos_at_fermi_per_ev_atom=0.89 pbc="T T T"
Cs 3.4584 3.4584 0.0000
Cs 6.9157 6.9157 0.0000
Cs 3.4584 0.0000 3.4584
Cs 10.3741 6.9157 3.4584
Cs 6.9157 0.0000 6.9157
Cs 10.3741 3.4584 6.9157
Cs 12.7322 8.0161 8.0161
Cs 0.0000 3.4584 3.4584
Cs 6.9157 10.3741 3.4584
Cs 6.9157 3.4584 10.3741
Cs 8.0161 8.0161 8.0161
Cs 12.7322 12.7322 8.0161
Cs 12.7322 8.0161 12.7322
Cs 8.0161 12.7322 8.0161
Cs 8.0161 8.0161 12.7322
Cs 12.7322 12.7322 12.7322
Cs 0.0000 6.9157 6.9157
Cs 3.4584 10.3741 6.9157
Cs 3.4584 6.9157 10.3741
Cs 8.0161 12.7322 12.7322
K 5.1871 5.1871 5.1871
K 15.5612 15.5612 15.5612
Hg 10.3741 10.3741 5.6234
Hg 10.3741 5.6234 10.3741
Hg 15.1249 10.3741 10.3741
Hg 5.6234 10.3741 10.3741
Hg 10.3741 15.1249 10.3741
Hg 10.3741 10.3741 15.1249

6.
12
Lattice="3.3109 -21.7816 0.0000 3.3109 21.7816 0.0000 0.0000 0.0000 4.7279" Properties=species:S:1:pos:R:3 comment="Cs2K7Hg3 GGA-PBE optimized geometry" delta_e_f_ev_per_atom=-0.06 dos_at_fermi_per_ev_atom=0.77 pbc="T T T"
Cs 3.3109 14.7852 0.0000
Cs 3.3109 -14.7852 0.0000
K 0.0000 0.0000 0.0000
K 3.3109 18.3243 2.3639
K 3.3109 9.4868 0.0000
K 3.3109 2.9680 0.0000
K 3.3109 -2.9680 0.0000
K 3.3109 -9.4868 0.0000
K 3.3109 -18.3243 2.3639
Hg 3.3109 5.9946 2.3639
Hg 3.3109 0.0000 2.3639
Hg 3.3109 -5.9946 2.3639

7.
5
Lattice="8.5875 0.0000 0.0000 0.0000 8.5875 0.0000 0.0000 0.0000 8.5875" Properties=species:S:1:pos:R:3 comment="Cs3KHg GGA-PBE optimized geometry" delta_e_f_ev_per_atom=0.17 dos_at_fermi_per_ev_atom=1.27 e_above_lowest_polymorph_mev_per_atom=257 pbc="T T T"
Cs 0.0000 0.0000 4.2938
Cs 0.0000 4.2938 0.0000
Cs 4.2938 0.0000 0.0000
K 0.0000 0.0000 0.0000
Hg 4.2938 4.2938 4.2938

8.
80
Lattice="-12.6473 12.6473 12.6473 12.6473 -12.6473 12.6473 12.6473 12.6473 -12.6473" Properties=species:S:1:pos:R:3 comment="Cs12K5Hg3 GGA-PBE optimized geometry" delta_e_f_ev_per_atom=0.09 dos_at_fermi_per_ev_atom=0.85 pbc="T T T"
Cs 12.1472 -2.4372 3.7569
Cs 19.4710 -2.5667 3.8865
Cs 3.7569 -0.5001 2.4372
Cs 15.2140 8.7608 -6.8237
Cs 16.4042 0.5001 2.4372
Cs 15.2140 -3.8865 6.8237
Cs 2.4372 3.7569 -0.5001
Cs 16.5337 5.8235 -2.5667
Cs 8.7608 6.8237 -2.5667
Cs 10.2101 3.7569 0.5001
Cs -0.5001 2.4372 3.7569
Cs 6.8237 -2.5667 8.7608
Cs 12.1472 10.2101 -3.7569
Cs 6.8237 2.5667 3.8865
Cs 10.2101 -3.7569 12.1472
Cs 8.7608 -6.8237 15.2140
Cs 3.8865 6.8237 2.5667
Cs 15.0845 8.8904 0.5001
Cs 3.7569 12.1472 -2.4372
Cs 15.2140 3.8865 5.8235
Cs 2.5667 3.8865 6.8237
Cs 3.7569 0.5001 10.2101
Cs 6.8237 15.2140 -3.8865
Cs 12.1472 2.4372 8.8904
Cs 0.5001 10.2101 3.7569
Cs 5.8235 -2.5667 16.5337
Cs 8.8904 12.1472 2.4372
Cs 10.0806 8.7608 5.8235
Cs -2.5667 8.7608 6.8237
Cs 8.8904 0.5001 15.0845
Cs -2.4372 3.7569 12.1472
Cs 8.7608 5.8235 10.0806
Cs 3.8865 19.4710 -2.5667
Cs 2.4372 16.4042 0.5001
Cs 5.8235 10.0806 8.7608
Cs 0.5001 2.4372 16.4042
Cs 5.8235 15.2140 3.8865
Cs 13.1474 10.2101 8.8904
Cs 2.4372 8.8904 12.1472
Cs 3.8865 5.8235 15.2140
Cs -3.8865 6.8237 15.2140
Cs 10.2101 8.8904 13.1474
Cs -2.5667 16.5337 5.8235
Cs -3.7569 12.1472 10.2101
Cs -2.5667 3.8865 19.4710
Cs 8.8904 13.1474 10.2101
Cs -6.8237 15.2140 8.7608
Cs 0.5001 15.0845 8.8904
K 0.0000 0.0000 0.0000
K 6.3236 6.3236 -6.3236
K 6.3236 -6.3236 6.3236
K 12.6473 0.0000 0.0000
K 18.9709 3.1618 0.0000
K 12.6473 -6.3236 9.4855
K 9.4855 12.6473 -6.3236
K 9.4855 0.0000 6.3236
K 6.3236 9.4855 0.0000
K 12.6473 6.3236 3.1618
K -6.3236 6.3236 6.3236
K 0.0000 12.6473 0.0000
K 0.0000 0.0000 12.6473
K 6.3236 6.3236 6.3236
K 0.0000 6.3236 9.4855
K 6.3236 3.1618 12.6473
K 3.1618 12.6473 6.3236
K 3.1618 0.0000 18.9709
K 0.0000 18.9709 3.1618
K -6.3236 9.4855 12.6473
Hg 6.3236 3.1618 0.0000
Hg 12.6473 6.3236 -3.1618
Hg 3.1618 0.0000 6.3236
Hg 15.8091 0.0000 6.3236
Hg 0.0000 6.3236 3.1618
Hg 6.3236 -3.1618 12.6473
Hg 6.3236 15.8091 0.0000
Hg 12.6473 6.3236 9.4855
Hg -3.1618 12.6473 6.3236
Hg 9.4855 12.6473 6.3236
Hg 0.0000 6.3236 15.8091
Hg 6.3236 9.4855 12.6473

9.
24
Lattice="6.5767 0.0000 0.0000 -3.2883 5.6956 0.0000 0.0000 0.0000 22.1755" Properties=species:S:1:pos:R:3 comment="Cs2KHg9 GGA-PBE optimized geometry" delta_e_f_ev_per_atom=-0.19 dos_at_fermi_per_ev_atom=0.70 pbc="T T T"
Cs 0.0000 3.7971 0.8561
Cs 0.0000 3.7971 10.2316
Cs 3.2884 1.8985 11.9439
Cs 3.2884 1.8985 21.3194
K 0.0000 3.7971 5.5439
K 3.2884 1.8985 16.6316
Hg 0.0000 0.0000 0.0000
Hg 0.0000 0.0000 5.5439
Hg 0.0000 0.0000 11.0878
Hg 0.0000 0.0000 16.6316
Hg 0.0000 1.9091 13.9338
Hg 0.0000 1.9091 19.3295
Hg -1.6350 4.7410 13.9338
Hg -1.6350 4.7410 19.3295
Hg 0.0000 3.7971 16.6316
Hg 1.6533 0.9545 2.8460
Hg 1.6533 0.9545 8.2417
Hg 1.6350 4.7410 13.9338
Hg 1.6350 4.7410 19.3295
Hg 3.2884 1.8985 5.5439
Hg 4.9234 0.9545 2.8460
Hg 4.9234 0.9545 8.2417
Hg 3.2884 3.7865 2.8460
Hg 3.2884 3.7865 8.2417

10.
28
Lattice="5.6295 0.0000 0.0000 0.0000 18.4670 0.0000 0.0000 0.0000 13.7386" Properties=species:S:1:pos:R:3 comment="Cs3K6Hg5 GGA-PBE optimized geometry" delta_e_f_ev_per_atom=-0.15 dos_at_fermi_per_ev_atom=0.51 pbc="T T T"
Cs 1.4074 0.8585 3.3794
Cs 1.4074 8.3750 3.3794
Cs 1.4074 13.8502 3.7478
Cs 4.2222 4.6167 9.9909
Cs 4.2222 10.0919 10.3592
Cs 4.2222 17.6085 10.3592
K 1.4074 1.3861 7.9225
K 1.4074 4.6167 0.3685
K 1.4074 4.6167 5.3020
K 1.4074 7.8474 7.9225
K 1.4074 10.9011 13.5144
K 1.4074 16.7994 13.5144
K 4.2222 1.6676 0.2242
K 4.2222 7.5659 0.2242
K 4.2222 10.6196 5.8161
K 4.2222 13.8502 8.4367
K 4.2222 13.8502 13.3701
K 4.2222 17.0809 5.8161
Hg 1.4074 1.7576 11.6041
Hg 1.4074 7.4759 11.6041
Hg 1.4074 11.6327 8.0982
Hg 1.4074 13.8502 10.7156
Hg 1.4074 16.0678 8.0982
Hg 4.2222 2.3992 5.6404
Hg 4.2222 4.6167 3.0230
Hg 4.2222 6.8343 5.6404
Hg 4.2222 10.9911 2.1346
Hg 4.2222 16.7094 2.1346

11.
3
Lattice="-2.3093 2.3093 7.9226 2.3093 -2.3093 7.9226 2.3093 2.3093 -7.9226" Properties=species:S:1:pos:R:3 comment="CsKHg GGA-PBE optimized geometry" delta_e_f_ev_per_atom=-0.14 dos_at_fermi_per_ev_atom=0.71 e_above_lowest_polymorph_mev_per_atom=25 pbc="T T T"
Cs 0.0000 0.0000 0.0000
K 0.0000 0.0000 4.2098
Hg 0.0000 0.0000 10.2602

12.
11
Lattice="9.4628 0.0000 0.0000 0.0000 5.4606 0.0000 -0.4336 0.0000 15.8521" Properties=species:S:1:pos:R:3 comment="Cs4K5Hg2 GGA-PBE optimized geometry" delta_e_f_ev_per_atom=-0.05 dos_at_fermi_per_ev_atom=0.73 e_above_lowest_polymorph_mev_per_atom=17 pbc="T T T"
Cs 1.1918 0.0000 5.8786
Cs 2.2876 0.0000 13.6327
Cs 6.7415 0.0000 2.2194
Cs 7.8373 0.0000 9.9735
K 0.0000 2.7303 0.0000
K 3.0552 2.7303 2.5666
K 2.8817 2.7303 9.7035
K 6.1475 2.7303 6.1486
K 5.9739 2.7303 13.2855
Hg 0.0520 2.7303 12.1588
Hg 8.9772 2.7303 3.6933

13.
22
Lattice="13.1145 0.0000 0.0000 -6.5572 11.3575 0.0000 0.0000 0.0000 9.2718" Properties=species:S:1:pos:R:3 comment="Cs6KHg4 GGA-PBE optimized geometry" delta_e_f_ev_per_atom=-0.16 dos_at_fermi_per_ev_atom=0.71 pbc="T T T"
Cs -2.6838 6.0221 0.0000
Cs 0.0000 3.0370 2.9858
Cs -3.9271 9.8390 2.9858
Cs 2.6301 1.5185 7.6217
Cs 2.6838 6.0221 0.0000
Cs 0.0000 10.6707 0.0000
Cs 6.5572 0.6868 4.6359
Cs 3.8734 5.3353 4.6359
Cs 3.9271 9.8390 2.9858
Cs 10.4843 1.5185 7.6217
Cs 6.5572 8.3205 7.6217
Cs 9.2411 5.3353 4.6359
K 0.0000 7.5717 5.7131
K 6.5572 3.7858 1.0772
Hg 0.0000 4.2593 6.8292
Hg -2.8686 9.2278 6.8292
Hg 0.0000 7.5717 2.2908
Hg 3.6887 2.1297 2.1933
Hg 2.8686 9.2278 6.8292
Hg 6.5572 3.7858 6.9267
Hg 9.4258 2.1297 2.1933
Hg 6.5572 7.0981 2.1933

14.
9
Lattice="9.4026 0.0000 0.0000 -4.7013 8.1429 0.0000 0.0000 0.0000 4.7703" Properties=species:S:1:pos:R:3 comment="Cs2KHg6 GGA-PBE optimized geometry" delta_e_f_ev_per_atom=-0.26 dos_at_fermi_per_ev_atom=0.62 e_above_lowest_polymorph_mev_per_atom=0 pbc="T T T"
Cs 0.0000 5.4286 0.0000
Cs 4.7013 2.7143 0.0000
K 0.0000 0.0000 0.0000
Hg -1.5468 2.6791 2.3851
Hg -3.1546 5.4639 2.3851
Hg 3.0935 0.0000 2.3851
Hg 1.5468 2.6791 2.3851
Hg 6.3091 0.0000 2.3851
Hg 3.1546 5.4639 2.3851

15.
11
Lattice="-2.7971 5.3232 9.7719 2.7971 -5.3232 9.7719 2.7971 5.3232 -9.7719" Properties=species:S:1:pos:R:3 comment="Cs3K4Hg4 GGA-PBE optimized geometry" delta_e_f_ev_per_atom=-0.17 dos_at_fermi_per_ev_atom=0.46 pbc="T T T"
Cs 0.0000 0.0000 0.0000
Cs 2.7971 0.0000 7.4928
Cs 0.0000 5.3232 2.2791
K 2.7971 2.0909 -3.3162
K 2.7971 2.0909 3.3162
K 0.0000 3.2322 6.4556
K 0.0000 3.2322 13.0881
Hg 0.0000 0.0000 4.5367
Hg 2.7971 3.7257 0.0000
Hg 0.0000 1.5974 9.7719
Hg 0.0000 0.0000 15.0071

16.
3
Lattice="6.0661 0.0000 0.0000 -3.0330 5.2534 0.0000 0.0000 0.0000 5.6095" Properties=species:S:1:pos:R:3 comment="CsKHg GGA-PBE optimized geometry" delta_e_f_ev_per_atom=-0.11 dos_at_fermi_per_ev_atom=0.56 e_above_lowest_polymorph_mev_per_atom=58 pbc="T T T"
Cs 0.0000 0.0000 0.0000
K 3.0330 1.7511 2.7269
Hg 0.0000 3.5023 3.4724

17.
10
Lattice="5.1831 0.0000 0.0000 0.0000 5.1831 0.0000 0.0000 0.0000 14.4424" Properties=species:S:1:pos:R:3 comment="Cs2KHg7 GGA-PBE optimized geometry" delta_e_f_ev_per_atom=-0.22 dos_at_fermi_per_ev_atom=0.48 pbc="T T T"
Cs 0.0000 2.5916 3.1793
Cs 2.5916 0.0000 11.2631
K 0.0000 0.0000 7.2212
Hg 0.0000 0.0000 0.0000
Hg 0.0000 2.5916 9.5302
Hg 0.0000 2.5916 12.6761
Hg 2.5916 0.0000 1.7663
Hg 2.5916 0.0000 4.9122
Hg 2.5916 2.5916 0.0000
Hg 2.5916 2.5916 7.2212